# 1
The following is a DFT calculation (PBE-GGA) of an optimized crystal structure of HfSiRh2.

Computed properties:
- Formation energy from raw total energies: -0.489 eV per atom
- VASP energy: -32.0 eV/f.u.
- ρ: 10.29 g/cm3
- Symmetry: I-42d (122)

```
data_HfSiRh2
_chemical_formula_sum 'Hf2 Si2 Rh4'
_cell_length_a 6.838
_cell_length_b 6.838
_cell_length_c 5.610
_cell_angle_alpha 52.45
_cell_angle_beta 52.45
_cell_angle_gamma 90.00
_space_group_name_H-M_alt 'P 1'
_space_group_IT_number 1
_space_group_name_Hall 'P 1'
loop_
_atom_site_label
_atom_site_type_symbol
_atom_site_fract_x
_atom_site_fract_y
_atom_site_fract_z
Hf1 Hf 0.000 0.000 0.000
Rh1 Rh 0.173 0.625 0.250
Si1 Si 0.250 0.750 0.500
Si2 Si 0.500 0.500 0.000
Rh2 Rh 0.375 0.423 0.750
Rh3 Rh 0.875 0.827 0.750
Rh4 Rh 0.577 0.125 0.250
Hf2 Hf 0.750 0.250 0.500
```

***

# 2
The following is a DFT calculation (PBE-GGA) of an optimized crystal structure of CsMgSb2.

Computed properties:
- Formation energy from raw total energies: -0.235 eV per atom
- VASP energy: -11.6 eV/f.u.
- ρ: 3.75 g/cm3
- Symmetry: I4_1/amd (141)

```
data_CsMgSb2
_chemical_formula_sum 'Cs2 Mg2 Sb4'
_cell_length_a 6.139
_cell_length_b 6.139
_cell_length_c 10.379
_cell_angle_alpha 72.80
_cell_angle_beta 72.80
_cell_angle_gamma 90.00
_space_group_name_H-M_alt 'P 1'
_space_group_IT_number 1
_space_group_name_Hall 'P 1'
loop_
_atom_site_label
_atom_site_type_symbol
_atom_site_fract_x
_atom_site_fract_y
_atom_site_fract_z
Mg1 Mg 0.250 0.750 0.500
Sb1 Sb 0.375 0.625 0.750
Sb2 Sb 0.375 0.125 0.250
Sb3 Sb 0.375 0.625 0.250
Cs1 Cs 0.750 0.250 0.500
Mg2 Mg 0.500 0.500 0.000
Cs2 Cs 0.000 0.000 0.000
Sb4 Sb 0.875 0.625 0.750
```

***

# 3
The following is a DFT calculation (PBE-GGA) of an optimized crystal structure of LiZr2Tl.

Computed properties:
- VASP energy: -20.2 eV/f.u.
- Formation energy: 28.4 kJ/mol of atoms
- ρ: 7.46 g/cm3
- Symmetry: I-42d (122)

```
data_LiZr2Tl
_chemical_formula_sum 'Li2 Zr4 Tl2'
_cell_length_a 7.981
_cell_length_b 7.981
_cell_length_c 6.279
_cell_angle_alpha 50.54
_cell_angle_beta 50.54
_cell_angle_gamma 90.00
_space_group_name_H-M_alt 'P 1'
_space_group_IT_number 1
_space_group_name_Hall 'P 1'
loop_
_atom_site_label
_atom_site_type_symbol
_atom_site_fract_x
_atom_site_fract_y
_atom_site_fract_z
Zr1 Zr 0.614 0.125 0.250
Li1 Li 0.500 0.500 0.000
Tl1 Tl 0.750 0.250 0.500
Li2 Li 0.250 0.750 0.500
Zr2 Zr 0.375 0.386 0.750
Zr3 Zr 0.136 0.625 0.250
Tl2 Tl 0.000 0.000 0.000
Zr4 Zr 0.875 0.864 0.750
```

***

# 4
The following is a DFT calculation (PBE-GGA) of an optimized crystal structure of Y4Er3Te8.

Computed properties:
- Formation energy from raw total energies: -1.355 eV per atom
- VASP energy: -85.0 eV/f.u.
- ρ: 6.81 g/cm3
- Symmetry: C2/m (12)

```
data_Y4Er3Te8
_chemical_formula_sum 'Y4 Er3 Te8'
_cell_length_a 8.652
_cell_length_b 8.655
_cell_length_c 8.655
_cell_angle_alpha 89.99
_cell_angle_beta 120.00
_cell_angle_gamma 120.00
_space_group_name_H-M_alt 'P 1'
_space_group_IT_number 1
_space_group_name_Hall 'P 1'
loop_
_atom_site_label
_atom_site_type_symbol
_atom_site_fract_x
_atom_site_fract_y
_atom_site_fract_z
Te1 Te 0.000 0.256 0.744
Y1 Y 0.000 0.000 0.000
Te2 Te 0.487 0.742 0.742
Te3 Te 0.003 0.258 0.258
Te4 Te 0.500 0.749 0.251
Er1 Er 0.500 0.500 0.500
Er2 Er 0.500 0.000 0.500
Y2 Y 0.500 0.000 0.000
Er3 Er 0.500 0.500 0.000
Y3 Y 0.000 0.000 0.500
Y4 Y 0.000 0.500 0.000
Te5 Te 0.997 0.742 0.742
Te6 Te 0.513 0.258 0.258
Te7 Te 0.500 0.251 0.749
Te8 Te 0.000 0.744 0.256
```

***

Calculated N(E_F), 4.790, 3.363, 6.414, 6.896 states/eV/cell (same order as the records).